VASP calculation (PBE) on an optimized crystal structure of NbH3Br6.

DOS at the Fermi energy (states/eV/cell): 26.5
Calculated volume (Å³ per cell): 1948
Uncorrected energy (Ry per atom): -0.2332
Total moment (μB per formula unit): 1.47

```
data_NbH3Br6
_cell_length_a 12.3690
_cell_length_b 12.3690
_cell_length_c 14.7000
_cell_angle_alpha 90.00
_cell_angle_beta 90.00
_cell_angle_gamma 120.00
_space_group_name_H-M_alt 'R -3 m'
_space_group_IT_number 166
_space_group_name_Hall '-R 3 2"'
loop_
_atom_site_label
_atom_site_type_symbol
_atom_site_fract_x
_atom_site_fract_y
_atom_site_fract_z
Nb1 Nb 0.0000 0.0000 0.0000
Nb2 Nb 0.0000 0.0000 0.5000
H1 H 0.0611 0.1221 0.1655
Br1 Br 0.0884 0.1769 0.8636
Br2 Br 0.0988 0.1975 0.6006
```

=====

VASP calculation (PBE) on an optimized crystal structure of NbHBr3.

DOS at the Fermi energy (states/eV/cell): 3.1
Calculated volume (Å³ per cell): 140
Uncorrected energy (Ry per atom): -0.2702
Total moment (μB per formula unit): 0.92
Energy above the most stable polymorph in this dataset (meV/atom): 0.0

```
data_NbHBr3
_cell_length_a 5.1946
_cell_length_b 5.1946
_cell_length_c 5.1946
_cell_angle_alpha 90.00
_cell_angle_beta 90.00
_cell_angle_gamma 90.00
_space_group_name_H-M_alt 'P m -3 m'
_space_group_IT_number 221
_space_group_name_Hall '-P 4 2 3'
loop_
_atom_site_label
_atom_site_type_symbol
_atom_site_fract_x
_atom_site_fract_y
_atom_site_fract_z
Nb1 Nb 0.0000 0.0000 0.0000
H1 H 0.5000 0.5000 0.5000
Br1 Br 0.0000 0.0000 0.5000
```

=====

VASP calculation (PBE) on an optimized crystal structure of NbHBr2.

DOS at the Fermi energy (states/eV/cell): 4.5
Calculated volume (Å³ per cell): 274
Uncorrected energy (Ry per atom): -0.2997
Total moment (μB per formula unit): 0.95

```
data_NbHBr2
_cell_length_a 3.3839
_cell_length_b 3.3839
_cell_length_c 27.6159
_cell_angle_alpha 90.00
_cell_angle_beta 90.00
_cell_angle_gamma 120.00
_space_group_name_H-M_alt 'R -3 m'
_space_group_IT_number 166
_space_group_name_Hall '-R 3 2"'
loop_
_atom_site_label
_atom_site_type_symbol
_atom_site_fract_x
_atom_site_fract_y
_atom_site_fract_z
Nb1 Nb 0.0000 0.0000 0.0000
H1 H 0.0000 0.0000 0.5000
Br1 Br 0.0000 0.0000 0.4005
```

=====

VASP calculation (PBE) on an optimized crystal structure of NbH2Br8.

DOS at the Fermi energy (states/eV/cell): 26.4
Calculated volume (Å³ per cell): 795
Uncorrected energy (Ry per atom): -0.2358
Total moment (μB per formula unit): 0.92
Energy above the most stable polymorph in this dataset (meV/atom): 0.0

```
data_NbH2Br8
_cell_length_a 12.1530
_cell_length_b 7.8355
_cell_length_c 9.5050
_cell_angle_alpha 90.00
_cell_angle_beta 118.50
_cell_angle_gamma 90.00
_space_group_name_H-M_alt 'C 1 2/m 1'
_space_group_IT_number 12
loop_
_space_group_symop_operation_xyz
'x,y,z'
'-x,-y,-z'
'-x,y,-z'
'x,-y,z'
'x+1/2,y+1/2,z'
'-x+1/2,-y+1/2,-z'
'-x+1/2,y+1/2,-z'
'x+1/2,-y+1/2,z'
loop_
_atom_site_label
_atom_site_type_symbol
_atom_site_fract_x
_atom_site_fract_y
_atom_site_fract_z
Nb1 Nb 0.0000 0.0000 0.0000
H1 H 0.2317 0.0000 0.4607
Br1 Br 0.0033 0.0000 0.2695
Br2 Br 0.1343 0.5000 0.4331
Br3 Br 0.1677 0.2301 0.1016
```

=====

VASP calculation (PBE) on an optimized crystal structure of NbH2Br.

DOS at the Fermi energy (states/eV/cell): 18.7
Calculated volume (Å³ per cell): 183
Uncorrected energy (Ry per atom): -0.2731
Total moment (μB per formula unit): 0.00
Energy above the most stable polymorph in this dataset (meV/atom): 763.2

```
data_NbH2Br
_cell_length_a 5.6818
_cell_length_b 5.6818
_cell_length_c 5.6818
_cell_angle_alpha 90.00
_cell_angle_beta 90.00
_cell_angle_gamma 90.00
_space_group_name_H-M_alt 'F m -3 m'
_space_group_IT_number 225
_space_group_name_Hall '-F 4 2 3'
loop_
_atom_site_label
_atom_site_type_symbol
_atom_site_fract_x
_atom_site_fract_y
_atom_site_fract_z
Nb1 Nb 0.0000 0.0000 0.0000
H1 H 0.2500 0.2500 0.2500
Br1 Br 0.0000 0.0000 0.5000
```

=====

VASP calculation (PBE) on an optimized crystal structure of NbH2Br.

DOS at the Fermi energy (states/eV/cell): 4.6
Calculated volume (Å³ per cell): 202
Uncorrected energy (Ry per atom): -0.3292
Total moment (μB per formula unit): 0.00
Energy above the most stable polymorph in this dataset (meV/atom): 0.0

```
data_NbH2Br
_cell_length_a 6.0627
_cell_length_b 6.0627
_cell_length_c 5.5084
_cell_angle_alpha 90.00
_cell_angle_beta 90.00
_cell_angle_gamma 90.00
_space_group_name_H-M_alt 'I -4 2 d'
_space_group_IT_number 122
_space_group_name_Hall 'I -4 2bw'
loop_
_atom_site_label
_atom_site_type_symbol
_atom_site_fract_x
_atom_site_fract_y
_atom_site_fract_z
Nb1 Nb 0.0000 0.0000 0.0000
H1 H 0.1393 0.2500 0.1250
Br1 Br 0.0000 0.0000 0.5000
```

=====

VASP calculation (PBE) on an optimized crystal structure of NbHPdBr.

DOS at the Fermi energy (states/eV/cell): 7.6
Calculated volume (Å³ per cell): 127
Uncorrected energy (Ry per atom): -0.3865
Total moment (μB per formula unit): 0.00
Energy above the most stable polymorph in this dataset (meV/atom): 13.1

```
data_NbHPdBr
_cell_length_a 5.5570
_cell_length_b 3.3116
_cell_length_c 6.9255
_cell_angle_alpha 90.00
_cell_angle_beta 90.96
_cell_angle_gamma 90.00
_space_group_name_H-M_alt 'C 1 m 1'
_space_group_IT_number 8
loop_
_space_group_symop_operation_xyz
'x,y,z'
'x,-y,z'
'x+1/2,y+1/2,z'
'x+1/2,-y+1/2,z'
loop_
_atom_site_label
_atom_site_type_symbol
_atom_site_fract_x
_atom_site_fract_y
_atom_site_fract_z
Nb1 Nb 0.0000 0.0000 0.0000
H1 H 0.4940 0.5000 0.3026
Pd1 Pd 0.1595 0.5000 0.3000
Br1 Br 0.1582 0.5000 0.7318
```

=====

VASP calculation (PBE) on an optimized crystal structure of NbHPdBr.

DOS at the Fermi energy (states/eV/cell): 3.7
Calculated volume (Å³ per cell): 121
Uncorrected energy (Ry per atom): -0.3832
Total moment (μB per formula unit): 0.00
Energy above the most stable polymorph in this dataset (meV/atom): 58.2

```
data_NbHPdBr
_cell_length_a 5.4964
_cell_length_b 3.1739
_cell_length_c 7.1513
_cell_angle_alpha 90.00
_cell_angle_beta 104.76
_cell_angle_gamma 90.00
_space_group_name_H-M_alt 'C 1 m 1'
_space_group_IT_number 8
loop_
_space_group_symop_operation_xyz
'x,y,z'
'x,-y,z'
'x+1/2,y+1/2,z'
'x+1/2,-y+1/2,z'
loop_
_atom_site_label
_atom_site_type_symbol
_atom_site_fract_x
_atom_site_fract_y
_atom_site_fract_z
Nb1 Nb 0.0000 0.0000 0.0000
H1 H 0.2285 0.5000 0.1866
Pd1 Pd 0.4399 0.0000 0.3199
Br1 Br 0.0737 0.5000 0.7189
```

=====

VASP calculation (PBE) on an optimized crystal structure of NbHPdBr.

DOS at the Fermi energy (states/eV/cell): 2.1
Calculated volume (Å³ per cell): 78
Uncorrected energy (Ry per atom): -0.3827
Total moment (μB per formula unit): 0.00
Energy above the most stable polymorph in this dataset (meV/atom): 65.3

```
data_NbHPdBr
_cell_length_a 3.0671
_cell_length_b 3.8078
_cell_length_c 7.0420
_cell_angle_alpha 75.62
_cell_angle_beta 78.14
_cell_angle_gamma 90.00
_space_group_name_H-M_alt 'P 1'
_space_group_IT_number 1
loop_
_space_group_symop_operation_xyz
'x,y,z'
loop_
_atom_site_label
_atom_site_type_symbol
_atom_site_fract_x
_atom_site_fract_y
_atom_site_fract_z
Nb1 Nb 0.0000 0.0000 0.0000
H1 H 0.6074 0.1040 0.7734
Pd1 Pd 0.5871 0.5844 0.8156
Br1 Br 0.3535 0.8580 0.3104
```

=====

VASP calculation (PBE) on an optimized crystal structure of NbHPdBr.

DOS at the Fermi energy (states/eV/cell): 2.3
Calculated volume (Å³ per cell): 62
Uncorrected energy (Ry per atom): -0.3875
Total moment (μB per formula unit): 0.00
Energy above the most stable polymorph in this dataset (meV/atom): 0.0

```
data_NbHPdBr
_cell_length_a 3.2654
_cell_length_b 3.2654
_cell_length_c 6.7242
_cell_angle_alpha 90.00
_cell_angle_beta 90.00
_cell_angle_gamma 120.00
_space_group_name_H-M_alt 'P 3 m 1'
_space_group_IT_number 156
loop_
_space_group_symop_operation_xyz
'x,y,z'
'-y,x-y,z'
'-x+y,-x,z'
'-y,-x,z'
'-x+y,y,z'
'x,x-y,z'
loop_
_atom_site_label
_atom_site_type_symbol
_atom_site_fract_x
_atom_site_fract_y
_atom_site_fract_z
Nb1 Nb 0.0000 0.0000 0.0000
H1 H 0.6667 0.3333 0.8969
Pd1 Pd 0.3333 0.6667 0.6943
Br1 Br 0.3333 0.6667 0.2870
```

=====

VASP calculation (PBE) on an optimized crystal structure of NbHPdBr.

DOS at the Fermi energy (states/eV/cell): 5.4
Calculated volume (Å³ per cell): 193
Uncorrected energy (Ry per atom): -0.3796
Total moment (μB per formula unit): 0.87
Energy above the most stable polymorph in this dataset (meV/atom): 108.2

```
data_NbHPdBr
_cell_length_a 3.3394
_cell_length_b 3.3394
_cell_length_c 19.9995
_cell_angle_alpha 90.00
_cell_angle_beta 90.00
_cell_angle_gamma 120.00
_space_group_name_H-M_alt 'R 3 m'
_space_group_IT_number 160
_space_group_name_Hall 'R 3 -2"'
loop_
_atom_site_label
_atom_site_type_symbol
_atom_site_fract_x
_atom_site_fract_y
_atom_site_fract_z
Nb1 Nb 0.0000 0.0000 0.0000
H1 H 0.0000 0.0000 0.3549
Pd1 Pd 0.0000 0.0000 0.5721
Br1 Br 0.0000 0.0000 0.1269
```

=====

VASP calculation (PBE) on an optimized crystal structure of NbHPdBr.

DOS at the Fermi energy (states/eV/cell): 1.7
Calculated volume (Å³ per cell): 71
Uncorrected energy (Ry per atom): -0.3828
Total moment (μB per formula unit): 0.00
Energy above the most stable polymorph in this dataset (meV/atom): 64.5

```
data_NbHPdBr
_cell_length_a 3.1560
_cell_length_b 3.2996
_cell_length_c 6.9392
_cell_angle_alpha 90.00
_cell_angle_beta 98.43
_cell_angle_gamma 90.00
_space_group_name_H-M_alt 'P 1 m 1'
_space_group_IT_number 6
loop_
_space_group_symop_operation_xyz
'x,y,z'
'x,-y,z'
loop_
_atom_site_label
_atom_site_type_symbol
_atom_site_fract_x
_atom_site_fract_y
_atom_site_fract_z
Nb1 Nb 0.0000 0.0000 0.0000
H1 H 0.2160 0.0000 0.2764
Pd1 Pd 0.5649 0.5000 0.2195
Br1 Br 0.8898 0.5000 0.7055
```

=====

> Among the records above, which one has the lowest uncorrected energy?

number 10